Computed, not measured: a geometry-optimized AgPtSe3 structure at the PBEsol level of DFT.

Results
formation energy from raw total energies = 0.584 eV/atom

The structure in CIF format:
```
data_AgPtSe3
_chemical_formula_sum 'Ag1 Pt1 Se3'
_cell_length_a 4.9133
_cell_length_b 4.9133
_cell_length_c 4.9133
_cell_angle_alpha 90.00
_cell_angle_beta 90.00
_cell_angle_gamma 90.00
_space_group_name_H-M_alt 'P m -3 m'
_space_group_IT_number 221
_space_group_name_Hall '-P 4 2 3'
loop_
_atom_site_label
_atom_site_fract_x
_atom_site_fract_y
_atom_site_fract_z
_atom_site_occupancy
Ag1 0.0000 0.0000 0.0000 1
Pt1 0.5000 0.5000 0.5000 1
Se1 0.0000 0.5000 0.5000 1
```


Computed, not measured: a geometry-optimized Si4AgPt structure at the PBEsol level of DFT.

Results
formation energy from raw total energies = 0.403 eV/atom

The structure in CIF format:
```
data_Si4AgPt
_chemical_formula_sum 'Si16 Ag4 Pt4'
_cell_length_a 7.1340
_cell_length_b 7.1340
_cell_length_c 7.1340
_cell_angle_alpha 90.00
_cell_angle_beta 90.00
_cell_angle_gamma 90.00
_space_group_name_H-M_alt 'F -4 3 m'
_space_group_IT_number 216
_space_group_name_Hall 'F -4 2 3'
loop_
_atom_site_label
_atom_site_fract_x
_atom_site_fract_y
_atom_site_fract_z
_atom_site_occupancy
Si1 0.1251 0.1251 0.1251 1
Ag1 0.2500 0.2500 0.7500 1
Pt1 0.0000 0.0000 0.5000 1
```


Computed, not measured: a geometry-optimized SiAgPt structure at the PBEsol level of DFT.

Results
energy above the lowest structure with this stoichiometry = 0.0 meV per atom
formation energy from raw total energies = -0.145 eV/atom

The structure in CIF format:
```
data_SiAgPt
_chemical_formula_sum 'Si1 Ag1 Pt1'
_cell_length_a 2.8826
_cell_length_b 2.8826
_cell_length_c 6.3298
_cell_angle_alpha 90.00
_cell_angle_beta 90.00
_cell_angle_gamma 120.00
_space_group_name_H-M_alt 'P 3 m 1'
_space_group_IT_number 156
_space_group_name_Hall 'P 3 -2"'
loop_
_atom_site_label
_atom_site_fract_x
_atom_site_fract_y
_atom_site_fract_z
_atom_site_occupancy
Si1 0.0000 0.0000 0.0000 1
Ag1 0.3333 0.6667 0.6618 1
Pt1 0.6667 0.3333 0.2850 1
```


Computed, not measured: a geometry-optimized SiAg3Pt structure at the PBEsol level of DFT.

Results
formation energy from raw total energies = 1.188 eV/atom

The structure in CIF format:
```
data_SiAg3Pt
_chemical_formula_sum 'Si1 Ag3 Pt1'
_cell_length_a 4.9454
_cell_length_b 4.9454
_cell_length_c 4.9454
_cell_angle_alpha 90.00
_cell_angle_beta 90.00
_cell_angle_gamma 90.00
_space_group_name_H-M_alt 'P m -3 m'
_space_group_IT_number 221
_space_group_name_Hall '-P 4 2 3'
loop_
_atom_site_label
_atom_site_fract_x
_atom_site_fract_y
_atom_site_fract_z
_atom_site_occupancy
Si1 0.0000 0.0000 0.0000 1
Ag1 0.0000 0.5000 0.5000 1
Pt1 0.5000 0.5000 0.5000 1
```


Computed, not measured: a geometry-optimized SiAgPt structure at the PBEsol level of DFT.

Results
energy above the lowest structure with this stoichiometry = 543.4 meV per atom
formation energy from raw total energies = 0.398 eV/atom

The structure in CIF format:
```
data_SiAgPt
_chemical_formula_sum 'Si4 Ag4 Pt4'
_cell_length_a 5.9545
_cell_length_b 5.9545
_cell_length_c 5.9545
_cell_angle_alpha 90.00
_cell_angle_beta 90.00
_cell_angle_gamma 90.00
_space_group_name_H-M_alt 'F -4 3 m'
_space_group_IT_number 216
_space_group_name_Hall 'F -4 2 3'
loop_
_atom_site_label
_atom_site_fract_x
_atom_site_fract_y
_atom_site_fract_z
_atom_site_occupancy
Si1 0.0000 0.0000 0.0000 1
Ag1 0.2500 0.2500 0.7500 1
Pt1 0.0000 0.0000 0.5000 1
```


Computed, not measured: a geometry-optimized SrAg2Pt structure at the PBEsol level of DFT.

Results
energy above the lowest structure with this stoichiometry = 71.9 meV per atom
E_form = -0.06 eV per atom

The structure in CIF format:
```
data_SrAg2Pt
_chemical_formula_sum 'Sr1 Ag2 Pt1'
_cell_length_a 3.0771
_cell_length_b 4.3076
_cell_length_c 5.9342
_cell_angle_alpha 90.00
_cell_angle_beta 90.00
_cell_angle_gamma 90.00
_space_group_name_H-M_alt 'P m m m'
_space_group_IT_number 47
_space_group_name_Hall '-P 2 2'
loop_
_atom_site_label
_atom_site_fract_x
_atom_site_fract_y
_atom_site_fract_z
_atom_site_occupancy
Sr1 0.0000 0.0000 0.0000 1
Ag1 0.5000 0.5000 0.2792 1
Pt1 0.0000 0.0000 0.5000 1
```


Computed, not measured: a geometry-optimized SrAgPt4 structure at the PBEsol level of DFT.

Results
E_form = -0.44 eV per atom

The structure in CIF format:
```
data_SrAgPt4
_chemical_formula_sum 'Sr4 Ag4 Pt16'
_cell_length_a 7.5573
_cell_length_b 7.5573
_cell_length_c 7.5573
_cell_angle_alpha 90.00
_cell_angle_beta 90.00
_cell_angle_gamma 90.00
_space_group_name_H-M_alt 'F -4 3 m'
_space_group_IT_number 216
_space_group_name_Hall 'F -4 2 3'
loop_
_atom_site_label
_atom_site_fract_x
_atom_site_fract_y
_atom_site_fract_z
_atom_site_occupancy
Sr1 0.0000 0.0000 0.0000 1
Ag1 0.2500 0.2500 0.2500 1
Pt1 0.1247 0.1247 0.6247 1
```


Computed, not measured: a geometry-optimized SrAg2Pt structure at the PBEsol level of DFT.

Results
energy above the lowest structure with this stoichiometry = 0.0 meV per atom
E_form = -0.14 eV per atom

The structure in CIF format:
```
data_SrAg2Pt
_chemical_formula_sum 'Sr1 Ag2 Pt1'
_cell_length_a 3.0696
_cell_length_b 3.9274
_cell_length_c 6.7227
_cell_angle_alpha 90.00
_cell_angle_beta 90.00
_cell_angle_gamma 90.00
_space_group_name_H-M_alt 'P m m 2'
_space_group_IT_number 25
_space_group_name_Hall 'P 2 -2'
loop_
_atom_site_label
_atom_site_fract_x
_atom_site_fract_y
_atom_site_fract_z
_atom_site_occupancy
Sr1 0.0000 0.0000 0.0000 1
Ag1 0.0000 0.0000 0.5221 1
Ag2 0.5000 0.5000 0.3243 1
Pt1 0.5000 0.5000 0.7349 1
```


Computed, not measured: a geometry-optimized SrAgPt structure at the PBEsol level of DFT.

Results
E_form = -0.23 eV per atom

The structure in CIF format:
```
data_SrAgPt
_chemical_formula_sum 'Sr2 Ag2 Pt2'
_cell_length_a 3.6290
_cell_length_b 3.6290
_cell_length_c 10.0373
_cell_angle_alpha 90.00
_cell_angle_beta 90.00
_cell_angle_gamma 90.00
_space_group_name_H-M_alt 'I 4 m m'
_space_group_IT_number 107
_space_group_name_Hall 'I 4 -2'
loop_
_atom_site_label
_atom_site_fract_x
_atom_site_fract_y
_atom_site_fract_z
_atom_site_occupancy
Sr1 0.0000 0.0000 0.0000 1
Ag1 0.0000 0.0000 0.2952 1
Pt1 0.0000 0.0000 0.6891 1
```


Computed, not measured: a geometry-optimized SrAgPt2 structure at the PBEsol level of DFT.

Results
E_form = -0.13 eV per atom

The structure in CIF format:
```
data_SrAgPt2
_chemical_formula_sum 'Sr1 Ag1 Pt2'
_cell_length_a 3.2361
_cell_length_b 3.2361
_cell_length_c 7.2911
_cell_angle_alpha 90.00
_cell_angle_beta 90.00
_cell_angle_gamma 90.00
_space_group_name_H-M_alt 'P 4/m m m'
_space_group_IT_number 123
_space_group_name_Hall '-P 4 2'
loop_
_atom_site_label
_atom_site_fract_x
_atom_site_fract_y
_atom_site_fract_z
_atom_site_occupancy
Sr1 0.0000 0.0000 0.0000 1
Ag1 0.0000 0.0000 0.5000 1
Pt1 0.5000 0.5000 0.2894 1
```


Computed, not measured: a geometry-optimized TaAg2Pt structure at the PBEsol level of DFT.

Results
energy above the lowest structure with this stoichiometry = 302.6 meV per atom
E_form = 0.23 eV per atom

The structure in CIF format:
```
data_TaAg2Pt
_chemical_formula_sum 'Ta1 Ag2 Pt1'
_cell_length_a 3.5015
_cell_length_b 3.5015
_cell_length_c 5.3742
_cell_angle_alpha 90.00
_cell_angle_beta 90.00
_cell_angle_gamma 90.00
_space_group_name_H-M_alt 'P 4/m m m'
_space_group_IT_number 123
_space_group_name_Hall '-P 4 2'
loop_
_atom_site_label
_atom_site_fract_x
_atom_site_fract_y
_atom_site_fract_z
_atom_site_occupancy
Ta1 0.0000 0.0000 0.0000 1
Ag1 0.5000 0.5000 0.2530 1
Pt1 0.0000 0.0000 0.5000 1
```


Computed, not measured: a geometry-optimized TaAg2Pt structure at the PBEsol level of DFT.

Results
energy above the lowest structure with this stoichiometry = 0.0 meV per atom
E_form = -0.07 eV per atom

The structure in CIF format:
```
data_TaAg2Pt
_chemical_formula_sum 'Ta3 Ag6 Pt3'
_cell_length_a 2.8427
_cell_length_b 2.8427
_cell_length_c 28.1104
_cell_angle_alpha 90.00
_cell_angle_beta 90.00
_cell_angle_gamma 120.00
_space_group_name_H-M_alt 'R 3 m'
_space_group_IT_number 160
_space_group_name_Hall 'R 3 -2"'
loop_
_atom_site_label
_atom_site_fract_x
_atom_site_fract_y
_atom_site_fract_z
_atom_site_occupancy
Ta1 0.0000 0.0000 0.0000 1
Ag1 0.0000 0.0000 0.5042 1
Ag2 0.0000 0.0000 0.7536 1
Pt1 0.0000 0.0000 0.2556 1
```